Record 1
CsRbI | PBE-GGA | optimized geometry

E above lowest polymorph: 17.6 meV per atom
total magnetic moment: 0.0 μB/f.u.

Unit cell a=4.682 b=4.682 c=17.864 alpha=90.00 beta=90.00 gamma=90.00
Sites, in units of the cell vectors:
Cs (0.000, 0.000, 0.000)
Cs (0.500, 0.500, 0.500)
Rb (0.000, 0.000, 0.750)
Rb (0.500, 0.500, 0.250)
I (0.000, 0.000, 0.373)
I (0.500, 0.500, 0.873)

---

Record 2
SrGe3I | PBE-GGA | optimized geometry

E above lowest polymorph: 520.2 meV per atom
total magnetic moment: 3.1 μB/f.u.

Unit cell a=5.908 b=5.908 c=5.908 alpha=90.00 beta=90.00 gamma=90.00
Sites, in units of the cell vectors:
Sr (0.000, 0.000, 0.000)
Ge (0.000, 0.000, 0.500)
Ge (0.000, 0.500, 0.000)
Ge (0.500, 0.000, 0.000)
I (0.500, 0.500, 0.500)

---

Record 3
DyY2Al | PBE-GGA | optimized geometry

E above lowest polymorph: 118.6 meV per atom
energy relative to the elements: -0.085 eV per atom
total magnetic moment: 0.7 μB/f.u.

Unit cell a=3.601 b=3.601 c=31.145 alpha=90.00 beta=90.00 gamma=120.00
Sites, in units of the cell vectors:
Dy (0.000, 0.000, 0.000)
Dy (0.333, 0.667, 0.667)
Dy (0.667, 0.333, 0.333)
Y (0.000, 0.000, 0.572)
Y (0.000, 0.000, 0.760)
Y (0.333, 0.667, 0.239)
Y (0.333, 0.667, 0.427)
Y (0.667, 0.333, 0.094)
Y (0.667, 0.333, 0.905)
Al (0.000, 0.000, 0.166)
Al (0.333, 0.667, 0.833)
Al (0.667, 0.333, 0.499)

---

Record 4
ReSn3Se | PBE-GGA | optimized geometry

E above lowest polymorph: 1201.4 meV per atom
total magnetic moment: 3.5 μB/f.u.

Unit cell a=5.354 b=5.354 c=5.354 alpha=90.00 beta=90.00 gamma=90.00
Sites, in units of the cell vectors:
Re (0.000, 0.000, 0.000)
Sn (0.000, 0.500, 0.500)
Sn (0.500, 0.000, 0.500)
Sn (0.500, 0.500, 0.000)
Se (0.500, 0.500, 0.500)

---

Record 5
LiCd3O | PBE-GGA | optimized geometry

E above lowest polymorph: 0.0 meV per atom
total magnetic moment: 0.0 μB/f.u.

Unit cell a=4.687 b=4.687 c=4.687 alpha=90.00 beta=90.00 gamma=90.00
Sites, in units of the cell vectors:
Li (0.000, 0.000, 0.000)
Cd (0.000, 0.500, 0.500)
Cd (0.500, 0.000, 0.500)
Cd (0.500, 0.500, 0.000)
O (0.500, 0.500, 0.500)

---

Record 6
CeTm2Sc3Se6 | PBE-GGA | optimized geometry

uncorrected energy: -6.2154 eV per atom
total magnetic moment: 1.1 μB/f.u.

Unit cell a=8.886 b=8.886 c=8.000 alpha=102.74 beta=102.74 gamma=25.77
Sites, in units of the cell vectors:
Ce (0.000, 0.000, 0.000)
Tm (0.336, 0.336, 0.671)
Tm (0.664, 0.664, 0.329)
Sc (0.000, 0.000, 0.500)
Sc (0.337, 0.337, 0.162)
Sc (0.663, 0.663, 0.838)
Se (0.166, 0.166, 0.589)
Se (0.175, 0.175, 0.082)
Se (0.498, 0.498, 0.268)
Se (0.502, 0.502, 0.732)
Se (0.825, 0.825, 0.918)
Se (0.834, 0.834, 0.411)

---

Record 7
La3Er6Sc | PBE-GGA | optimized geometry

E above lowest polymorph: 0.0 meV per atom
energy relative to the elements: 0.155 eV per atom
total magnetic moment: 0.0 μB/f.u.

Unit cell a=10.937 b=10.937 c=6.221 alpha=90.00 beta=90.00 gamma=119.26
Sites, in units of the cell vectors:
La (0.114, 0.886, 0.500)
La (0.221, 0.447, 0.098)
La (0.447, 0.221, 0.598)
La (0.553, 0.779, 0.098)
La (0.779, 0.553, 0.598)
La (0.886, 0.114, 0.000)
Er (0.043, 0.467, 0.686)
Er (0.117, 0.213, 0.516)
Er (0.213, 0.117, 0.016)
Er (0.220, 0.780, 0.944)
Er (0.454, 0.546, 0.649)
Er (0.467, 0.043, 0.186)
Er (0.533, 0.957, 0.686)
Er (0.546, 0.454, 0.149)
Er (0.780, 0.220, 0.444)
Er (0.787, 0.883, 0.516)
Er (0.883, 0.787, 0.016)
Er (0.957, 0.533, 0.186)
Sc (0.297, 0.703, 0.436)
Sc (0.703, 0.297, 0.936)

---

Record 8
Cs2DyTe6Au2 | PBE-GGA | optimized geometry

uncorrected energy: -3.4214 eV per atom
total magnetic moment: 0.0 μB/f.u.

Unit cell a=7.950 b=7.950 c=9.639 alpha=113.72 beta=113.72 gamma=62.12
Sites, in units of the cell vectors:
Cs (0.231, 0.231, 0.197)
Cs (0.769, 0.769, 0.803)
Dy (0.000, 0.000, 0.500)
Te (0.198, 0.762, 0.231)
Te (0.237, 0.237, 0.772)
Te (0.238, 0.802, 0.769)
Te (0.762, 0.198, 0.231)
Te (0.763, 0.763, 0.228)
Te (0.802, 0.238, 0.769)
Au (0.418, 0.418, 0.738)
Au (0.582, 0.582, 0.262)

---

Record 9
BaAlOs2 | PBE-GGA | optimized geometry

energy relative to the elements: 0.761 eV per atom
total magnetic moment: 0.0 μB/f.u.

Unit cell a=3.000 b=3.000 c=28.596 alpha=90.00 beta=90.00 gamma=120.00
Sites, in units of the cell vectors:
Ba (0.000, 0.000, 0.000)
Ba (0.333, 0.667, 0.667)
Ba (0.667, 0.333, 0.333)
Al (0.000, 0.000, 0.500)
Al (0.333, 0.667, 0.167)
Al (0.667, 0.333, 0.833)
Os (0.000, 0.000, 0.234)
Os (0.000, 0.000, 0.766)
Os (0.333, 0.667, 0.433)
Os (0.333, 0.667, 0.900)
Os (0.667, 0.333, 0.100)
Os (0.667, 0.333, 0.567)

---

Record 10
Cu2RuAuBr | PBE-GGA | optimized geometry

uncorrected energy: -3.4206 eV per atom
total magnetic moment: 0.0 μB/f.u.

Unit cell a=4.845 b=4.845 c=4.554 alpha=90.00 beta=90.00 gamma=90.00
Sites, in units of the cell vectors:
Cu (0.000, 0.500, 0.000)
Cu (0.500, 0.000, 0.000)
Ru (0.000, 0.000, 0.000)
Au (0.500, 0.500, 0.500)
Br (0.000, 0.000, 0.500)

---

Record 11
Rb2NpPdO6 | PBE-GGA | optimized geometry

uncorrected energy: -6.7836 eV per atom
total magnetic moment: 0.8 μB/f.u.

Unit cell a=6.636 b=6.636 c=6.636 alpha=128.61 beta=128.61 gamma=75.63
Sites, in units of the cell vectors:
Rb (0.250, 0.750, 0.500)
Rb (0.750, 0.250, 0.500)
Np (0.000, 0.000, 0.000)
Pd (0.500, 0.500, 0.000)
O (0.180, 0.180, 0.000)
O (0.257, 0.257, 0.515)
O (0.257, 0.743, 0.000)
O (0.743, 0.257, 0.000)
O (0.743, 0.743, 0.485)
O (0.820, 0.820, 0.000)

---

Record 12
BaZrBr2 | PBE-GGA | optimized geometry

E above lowest polymorph: 159.2 meV per atom
total magnetic moment: 0.0 μB/f.u.

Unit cell a=3.536 b=6.832 c=10.048 alpha=90.00 beta=90.00 gamma=90.00
Sites, in units of the cell vectors:
Ba (0.000, 0.000, 0.000)
Ba (0.500, 0.500, 0.000)
Zr (0.000, 0.000, 0.500)
Zr (0.500, 0.500, 0.500)
Br (0.000, 0.500, 0.282)
Br (0.000, 0.500, 0.718)
Br (0.500, 0.000, 0.282)
Br (0.500, 0.000, 0.718)

---

Record 13
CeEr3S6 | PBE-GGA | optimized geometry

uncorrected energy: -6.5087 eV per atom
total magnetic moment: 1.0 μB/f.u.

Unit cell a=11.020 b=3.957 c=11.276 alpha=90.00 beta=108.74 gamma=90.00
Sites, in units of the cell vectors:
Ce (0.049, 0.250, 0.194)
Ce (0.951, 0.750, 0.806)
Er (0.160, 0.250, 0.586)
Er (0.320, 0.750, 0.999)
Er (0.441, 0.250, 0.333)
Er (0.559, 0.750, 0.667)
Er (0.680, 0.250, 0.001)
Er (0.840, 0.750, 0.414)
S (0.083, 0.750, 0.406)
S (0.118, 0.250, 0.963)
S (0.195, 0.750, 0.750)
S (0.265, 0.750, 0.228)
S (0.394, 0.250, 0.559)
S (0.479, 0.250, 0.112)
S (0.521, 0.750, 0.888)
S (0.606, 0.750, 0.441)
S (0.735, 0.250, 0.772)
S (0.805, 0.250, 0.250)
S (0.882, 0.750, 0.037)
S (0.917, 0.250, 0.594)

---

Record 14
Li6CuO4 | PBE-GGA | optimized geometry

E above lowest polymorph: 0.0 meV per atom
total magnetic moment: 1.0 μB/f.u.

Unit cell a=6.642 b=6.642 c=4.590 alpha=90.00 beta=90.00 gamma=90.00
Sites, in units of the cell vectors:
Li (0.032, 0.532, 0.250)
Li (0.032, 0.968, 0.250)
Li (0.250, 0.250, 0.187)
Li (0.250, 0.250, 0.687)
Li (0.468, 0.532, 0.250)
Li (0.468, 0.968, 0.250)
Li (0.532, 0.032, 0.750)
Li (0.532, 0.468, 0.750)
Li (0.750, 0.750, 0.313)
Li (0.750, 0.750, 0.813)
Li (0.968, 0.032, 0.750)
Li (0.968, 0.468, 0.750)
Cu (0.250, 0.750, 0.750)
Cu (0.750, 0.250, 0.250)
O (0.017, 0.250, 0.447)
O (0.250, 0.017, 0.947)
O (0.250, 0.483, 0.947)
O (0.483, 0.250, 0.447)
O (0.517, 0.750, 0.553)
O (0.750, 0.517, 0.053)
O (0.750, 0.983, 0.053)
O (0.983, 0.750, 0.553)

---

Record 15
Li2ZnCr | PBE-GGA | optimized geometry

E above lowest polymorph: 85.8 meV per atom
energy relative to the elements: 0.277 eV per atom
total magnetic moment: 4.0 μB/f.u.

Unit cell a=6.264 b=6.264 c=6.264 alpha=90.00 beta=90.00 gamma=90.00
Sites, in units of the cell vectors:
Li (0.250, 0.250, 0.250)
Li (0.250, 0.250, 0.750)
Li (0.250, 0.750, 0.250)
Li (0.250, 0.750, 0.750)
Li (0.750, 0.250, 0.250)
Li (0.750, 0.250, 0.750)
Li (0.750, 0.750, 0.250)
Li (0.750, 0.750, 0.750)
Zn (0.000, 0.000, 0.000)
Zn (0.000, 0.500, 0.500)
Zn (0.500, 0.000, 0.500)
Zn (0.500, 0.500, 0.000)
Cr (0.000, 0.000, 0.500)
Cr (0.000, 0.500, 0.000)
Cr (0.500, 0.000, 0.000)
Cr (0.500, 0.500, 0.500)

---

Record 16
Tc2AuBr | PBE-GGA | optimized geometry

E above lowest polymorph: 0.0 meV per atom
total magnetic moment: 0.0 μB/f.u.

Unit cell a=2.974 b=2.989 c=8.596 alpha=90.00 beta=90.20 gamma=90.00
Sites, in units of the cell vectors:
Tc (0.000, 0.000, 0.000)
Tc (0.498, 0.500, 0.828)
Au (0.502, 0.500, 0.237)
Br (0.496, 0.000, 0.583)

---

Record 17
Er3Al2Zn4 | PBE-GGA | optimized geometry

energy relative to the elements: -0.429 eV per atom
total magnetic moment: 0.0 μB/f.u.

Unit cell a=5.675 b=5.675 c=8.479 alpha=111.84 beta=111.84 gamma=46.46
Sites, in units of the cell vectors:
Er (0.000, 0.000, 0.000)
Er (0.337, 0.337, 0.327)
Er (0.663, 0.663, 0.673)
Al (0.383, 0.383, 0.718)
Al (0.617, 0.617, 0.282)
Zn (0.073, 0.073, 0.407)
Zn (0.287, 0.287, 0.955)
Zn (0.713, 0.713, 0.045)
Zn (0.927, 0.927, 0.593)

---

Record 18
TbHo5 | PBE-GGA | optimized geometry

E above lowest polymorph: 14.7 meV per atom
energy relative to the elements: 0.020 eV per atom
total magnetic moment: 0.0 μB/f.u.

Unit cell a=6.103 b=10.542 c=6.102 alpha=90.00 beta=109.39 gamma=90.00
Sites, in units of the cell vectors:
Tb (0.000, 0.000, 0.000)
Tb (0.500, 0.500, 0.000)
Ho (0.000, 0.167, 0.500)
Ho (0.000, 0.333, 0.000)
Ho (0.000, 0.500, 0.500)
Ho (0.000, 0.667, 0.000)
Ho (0.000, 0.833, 0.500)
Ho (0.500, 0.000, 0.500)
Ho (0.500, 0.167, 0.000)
Ho (0.500, 0.333, 0.500)
Ho (0.500, 0.667, 0.500)
Ho (0.500, 0.833, 0.000)

---

Record 19
Nd3TcO6 | PBE-GGA | optimized geometry

uncorrected energy: -8.0701 eV per atom
total magnetic moment: 0.1 μB/f.u.

Unit cell a=7.436 b=7.436 c=5.743 alpha=90.00 beta=90.00 gamma=102.56
Sites, in units of the cell vectors:
Nd (0.101, 0.899, 0.500)
Nd (0.207, 0.407, 0.549)
Nd (0.407, 0.207, 0.049)
Nd (0.593, 0.793, 0.549)
Nd (0.793, 0.593, 0.049)
Nd (0.899, 0.101, 0.000)
Tc (0.291, 0.709, 0.077)
Tc (0.709, 0.291, 0.577)
O (0.080, 0.590, 0.273)
O (0.143, 0.172, 0.277)
O (0.172, 0.143, 0.777)
O (0.282, 0.718, 0.751)
O (0.410, 0.920, 0.273)
O (0.448, 0.552, 0.275)
O (0.552, 0.448, 0.775)
O (0.590, 0.080, 0.773)
O (0.718, 0.282, 0.251)
O (0.828, 0.857, 0.277)
O (0.857, 0.828, 0.777)
O (0.920, 0.410, 0.773)

---

Record 20
CaIrPt2O | PBE-GGA | optimized geometry

uncorrected energy: -5.5677 eV per atom
total magnetic moment: 0.0 μB/f.u.

Unit cell a=4.612 b=4.612 c=3.918 alpha=90.00 beta=90.00 gamma=90.00
Sites, in units of the cell vectors:
Ca (0.000, 0.000, 0.000)
Ir (0.500, 0.500, 0.000)
Pt (0.000, 0.500, 0.500)
Pt (0.500, 0.000, 0.500)
O (0.500, 0.500, 0.500)

---

Record 21
La2ZrBS | PBE-GGA | optimized geometry

uncorrected energy: -5.6821 eV per atom
total magnetic moment: 0.0 μB/f.u.

Unit cell a=5.648 b=5.648 c=3.819 alpha=90.00 beta=90.00 gamma=90.00
Sites, in units of the cell vectors:
La (0.000, 0.500, 0.000)
La (0.500, 0.000, 0.000)
Zr (0.000, 0.000, 0.500)
B (0.500, 0.500, 0.500)
S (0.500, 0.500, 0.000)

---

Record 22
UAl9Fe3 | PBE-GGA | optimized geometry

energy relative to the elements: -0.287 eV per atom
total magnetic moment: 5.2 μB/f.u.

Unit cell a=6.733 b=6.733 c=6.678 alpha=97.85 beta=97.85 gamma=136.21
Sites, in units of the cell vectors:
U (0.000, 0.000, 0.000)
Al (0.000, 0.000, 0.500)
Al (0.001, 0.355, 0.337)
Al (0.292, 0.514, 0.788)
Al (0.355, 0.001, 0.337)
Al (0.486, 0.708, 0.212)
Al (0.514, 0.292, 0.788)
Al (0.645, 0.999, 0.663)
Al (0.708, 0.486, 0.212)
Al (0.999, 0.645, 0.663)
Fe (0.000, 0.500, 0.000)
Fe (0.500, 0.000, 0.000)
Fe (0.500, 0.500, 0.500)

---

Record 23
Na2ReAu | PBE-GGA | optimized geometry

E above lowest polymorph: 0.0 meV per atom
energy relative to the elements: 1.109 eV per atom
total magnetic moment: 3.6 μB/f.u.

Unit cell a=8.219 b=8.219 c=5.444 alpha=90.00 beta=90.00 gamma=90.00
Sites, in units of the cell vectors:
Na (0.225, 0.250, 0.125)
Na (0.250, 0.725, 0.375)
Na (0.250, 0.775, 0.875)
Na (0.275, 0.250, 0.625)
Na (0.725, 0.750, 0.625)
Na (0.750, 0.225, 0.875)
Na (0.750, 0.275, 0.375)
Na (0.775, 0.750, 0.125)
Re (0.000, 0.000, 0.500)
Re (0.000, 0.500, 0.750)
Re (0.500, 0.000, 0.250)
Re (0.500, 0.500, 0.000)
Au (0.000, 0.000, 0.000)
Au (0.000, 0.500, 0.250)
Au (0.500, 0.000, 0.750)
Au (0.500, 0.500, 0.500)